## CsErBSe4 (GGA-PBE)

Data for a relaxed structure of CsErBSe4.

Calculated values
As for the space group: P2_1/m, No. 11. The calculation puts the formation energy from raw total energies at -1.00 eV/atom.

Unit cell a=6.8665 b=5.8786 c=10.0785 alpha=90.00 beta=102.91 gamma=90.00
With the nearest neighbours (Å) after each atom.
Sites, in units of the cell vectors:
Cs 0.7473 0.7500 0.9624  7 Se 3.53-3.83
Cs 0.2527 0.2500 0.0376  7 Se 3.53-3.83
Er 0.7527 0.7500 0.4522  8 Se 2.83-3.09
Er 0.2473 0.2500 0.5478  8 Se 2.83-3.09
B 0.2568 0.7500 0.3430  4 Se 2.02-2.14
B 0.7432 0.2500 0.6570  4 Se 2.02-2.14
Se 0.9782 0.4973 0.6956  1 B 2.14
Se 0.0218 0.9973 0.3044  1 B 2.14
Se 0.0218 0.5027 0.3044  1 B 2.14
Se 0.9782 0.0027 0.6956  1 B 2.14
Se 0.4430 0.7500 0.2133  1 B 2.02
Se 0.5570 0.2500 0.7867  1 B 2.02
Se 0.3875 0.7500 0.5479  1 B 2.06
Se 0.6125 0.2500 0.4521  1 B 2.06